[1]
Compound: Dy2Ho5Th4
Source: Alexandria
Functional: GGA-PBE
Structure: relaxed

Calculated values
uncorrected energy: -5.5913 eV/atom
crystal system: triclinic
formation enthalpy at 0 K: 24.4 meV/atom
polymorph energy (0 for the lowest one): 0.000 eV/atom

```
data_Dy2Ho5Th4
_chemical_formula_sum 'Dy2 Ho5 Th4'
_symmetry_space_group_name_H-M 'P 1'
_symmetry_Int_Tables_number 1
_cell_length_a 3.5665
_cell_length_b 8.6427
_cell_length_c 11.8242
_cell_angle_alpha 104.56
_cell_angle_beta 98.62
_cell_angle_gamma 90.05
loop_
_symmetry_equiv_pos_as_xyz
'x,y,z'
loop_
_atom_site_label
_atom_site_type_symbol
_atom_site_fract_x
_atom_site_fract_y
_atom_site_fract_z
Dy1 Dy 0.0893 0.2192 0.1793
Dy2 Dy 0.9107 0.7808 0.8207
Ho1 Ho 0.0000 0.5000 0.0000
Ho2 Ho 0.2731 0.6867 0.5452
Ho3 Ho 0.3634 0.4041 0.7265
Ho4 Ho 0.6366 0.5959 0.2735
Ho5 Ho 0.7269 0.3133 0.4548
Th1 Th 0.1817 0.9526 0.3644
Th2 Th 0.4536 0.1370 0.9075
Th3 Th 0.5464 0.8630 0.0925
Th4 Th 0.8183 0.0474 0.6356
```

[2]
Compound: Dy8Ho3Th2
Source: Alexandria
Functional: GGA-PBE
Structure: relaxed

Calculated values
uncorrected energy: -4.7560 eV/atom
crystal system: monoclinic
formation enthalpy at 0 K: 274.0 meV/atom
polymorph energy (0 for the lowest one): 0.160 eV/atom

```
data_Dy8Ho3Th2
_chemical_formula_sum 'Dy8 Ho3 Th2'
_symmetry_space_group_name_H-M 'P 1'
_symmetry_Int_Tables_number 1
_cell_length_a 10.9908
_cell_length_b 10.9908
_cell_length_c 5.6374
_cell_angle_alpha 90.02
_cell_angle_beta 90.02
_cell_angle_gamma 39.11
loop_
_symmetry_equiv_pos_as_xyz
'x,y,z'
loop_
_atom_site_label
_atom_site_type_symbol
_atom_site_fract_x
_atom_site_fract_y
_atom_site_fract_z
Dy1 Dy 0.1087 0.6742 0.0003
Dy2 Dy 0.1665 0.1665 0.5002
Dy3 Dy 0.3258 0.8913 0.9997
Dy4 Dy 0.3613 0.3613 0.5006
Dy5 Dy 0.6387 0.6387 0.4994
Dy6 Dy 0.6742 0.1087 0.0003
Dy7 Dy 0.8335 0.8335 0.4998
Dy8 Dy 0.8913 0.3258 0.9997
Ho1 Ho 0.2257 0.7743 0.5000
Ho2 Ho 0.5000 0.5000 0.0000
Ho3 Ho 0.7743 0.2257 0.5000
Th1 Th 0.2548 0.2548 0.0006
Th2 Th 0.7452 0.7452 0.9994
```

[3]
Compound: Dy2Ho6Th3
Source: Alexandria
Functional: GGA-PBE
Structure: relaxed

Calculated values
uncorrected energy: -5.1919 eV/atom
crystal system: trigonal
formation enthalpy at 0 K: 165.4 meV/atom

```
data_Dy2Ho6Th3
_chemical_formula_sum 'Dy2 Ho6 Th3'
_symmetry_space_group_name_H-M 'P 1'
_symmetry_Int_Tables_number 1
_cell_length_a 6.1540
_cell_length_b 6.1540
_cell_length_c 11.1934
_cell_angle_alpha 90.00
_cell_angle_beta 90.00
_cell_angle_gamma 120.00
loop_
_symmetry_equiv_pos_as_xyz
'x,y,z'
loop_
_atom_site_label
_atom_site_type_symbol
_atom_site_fract_x
_atom_site_fract_y
_atom_site_fract_z
Dy1 Dy 0.3333 0.6667 0.0000
Dy2 Dy 0.6667 0.3333 0.0000
Ho1 Ho 0.0000 0.3306 0.7481
Ho2 Ho 0.0000 0.6694 0.2519
Ho3 Ho 0.3306 0.0000 0.7481
Ho4 Ho 0.3306 0.3306 0.2519
Ho5 Ho 0.6694 0.0000 0.2519
Ho6 Ho 0.6694 0.6694 0.7481
Th1 Th 0.0000 0.0000 0.5000
Th2 Th 0.3333 0.6667 0.5000
Th3 Th 0.6667 0.3333 0.5000
```

Which of these has the highest formation enthalpy at 0 K? Dy8Ho3Th2

The highest uncorrected energy belongs to which entry? Dy8Ho3Th2

Which value of formation enthalpy at 0 K does entry 1 give? 24.4 meV/atom

Which of these has the lowest formation enthalpy at 0 K? Dy2Ho5Th4